BaMg4Br: optimized geometry, PBE-GGA.

Summary:
**Calculated volume**: 31.8 Å³/atom
**Raw formation energy**: -0.136 eV/atom

a b c (Å): 6.4601 6.4601 6.4601
angles (deg): 60.00 60.00 60.00
Atoms (fractional coordinates):
1 Ba 0.0000 0.0000 0.0000
2 Mg 0.3743 0.3743 0.3743
3 Mg 0.3743 0.3743 0.8770
4 Mg 0.3743 0.8770 0.3743
5 Mg 0.8770 0.3743 0.3743
6 Br 0.7500 0.7500 0.7500